# NbCr3Ir

A geometry-optimized NbCr3Ir structure (PBEsol, Alexandria via LeMat-Bulk).

Calculated values
* calculated formation energy: 2.0360 eV per atom
* electronic total energy: -41.2 eV per cell
* DOS(E_F): 8.2 states/eV/f.u.
* M_tot: 0.00 μB per formula unit

Unit cell a=4.3113 b=4.3113 c=4.3113 alpha=90.00 beta=90.00 gamma=90.00
Closest atoms and distances in Å follow each position.
Atoms (fractional coordinates):
Cr 0.0000 0.5000 0.0000  2 Nb 2.16
Cr 0.0000 0.0000 0.5000  2 Nb 2.16
Cr 0.5000 0.0000 0.0000  2 Nb 2.16
Nb 0.0000 0.0000 0.0000  6 Cr 2.16
Ir 0.5000 0.5000 0.5000  12 Cr 3.05